A relaxed structure of HfTh2In. Source: the Alexandria database, functional GGA-PBE.

Values from the calculation:
Theoretical density, g cm⁻³: 11.45
Total magnetization, μB/f.u.: 0.00
Polymorph energy (0 for the lowest one), meV/atom: 0
E_form, meV per atom: -81.3

```
data_HfTh2In
_chemical_formula_sum 'Hf1 Th2 In1'
_cell_length_a 4.8641
_cell_length_b 4.7512
_cell_length_c 4.7512
_cell_angle_alpha 90.00
_cell_angle_beta 90.00
_cell_angle_gamma 90.00
_symmetry_space_group_name_H-M 'P 1'
_symmetry_Int_Tables_number 1
_symmetry_space_group_name_Hall 'P 1'
loop_
_atom_site_label
_atom_site_type_symbol
_atom_site_fract_x
_atom_site_fract_y
_atom_site_fract_z
In1 In 0.5000 0.0000 0.0000
Th1 Th 0.0000 0.5000 0.0000
Th2 Th 0.0000 0.0000 0.5000
Hf1 Hf 0.5000 0.5000 0.5000
```

A relaxed structure of La6TbPm2Nd. Source: the Alexandria database, functional GGA-PBE.

Values from the calculation:
Theoretical density, g cm⁻³: 6.59
Total magnetization, μB/f.u.: 0.00
E_form, meV per atom: 178.6

```
data_La6TbPm2Nd
_chemical_formula_sum 'La6 Tb1 Pm2 Nd1'
_cell_length_a 9.3199
_cell_length_b 7.0138
_cell_length_c 6.7550
_cell_angle_alpha 121.28
_cell_angle_beta 105.01
_cell_angle_gamma 90.00
_symmetry_space_group_name_H-M 'P 1'
_symmetry_Int_Tables_number 1
_symmetry_space_group_name_Hall 'P 1'
loop_
_atom_site_label
_atom_site_type_symbol
_atom_site_fract_x
_atom_site_fract_y
_atom_site_fract_z
La1 La 0.1945 0.5685 0.6038
La2 La 0.4215 0.6279 0.2559
La3 La 0.8055 0.4315 0.3962
La4 La 0.1945 0.0353 0.6038
La5 La 0.5785 0.3721 0.7441
La6 La 0.8055 0.9647 0.3962
Pm1 Pm 0.8303 0.9268 0.8536
Pm2 Pm 0.1697 0.0732 0.1464
Tb1 Tb 0.0000 0.5000 0.0000
Nd1 Nd 0.5000 0.0000 0.0000
```

A relaxed structure of K2BiSbW. Source: the Alexandria database, functional GGA-PBE.

Values from the calculation:
Theoretical density, g cm⁻³: 3.74
Formation energy without anion corrections, meV per atom: 1434
Total magnetization, μB/f.u.: 4.98
Polymorph energy (0 for the lowest one), meV/atom: 544

```
data_K2BiSbW
_chemical_formula_sum 'K2 Bi1 Sb1 W1'
_cell_length_a 6.8023
_cell_length_b 5.6858
_cell_length_c 6.8023
_cell_angle_alpha 90.00
_cell_angle_beta 90.00
_cell_angle_gamma 90.00
_symmetry_space_group_name_H-M 'P 1'
_symmetry_Int_Tables_number 1
_symmetry_space_group_name_Hall 'P 1'
loop_
_atom_site_label
_atom_site_type_symbol
_atom_site_fract_x
_atom_site_fract_y
_atom_site_fract_z
Sb1 Sb 0.0000 0.5000 0.0000
K1 K 0.5000 0.0000 0.0000
K2 K 0.0000 0.0000 0.5000
W1 W 0.5000 0.5000 0.5000
Bi1 Bi 0.0000 0.0000 0.0000
```